Record 1
Zn2BO4: relaxed, PBE.

a = 5.5516 Å, b = 5.5516 Å, c = 5.5516 Å
α = 60.00°, β = 60.00°, γ = 60.00°
Closest atoms and distances in Å follow each position.
Fractional positions:
Zn (0.0000, 0.0000, 0.0000)  6 O 2.08
Zn (0.0000, 0.0000, 0.5000)  6 O 2.08
Zn (0.0000, 0.5000, 0.0000)  6 O 2.08
Zn (0.5000, 0.0000, 0.0000)  6 O 2.08
B (0.3750, 0.3750, 0.3750)  4 O 1.51
B (0.6250, 0.6250, 0.6250)  4 O 1.51
O (0.2637, 0.2637, 0.2637)  1 B 1.51
O (0.2637, 0.2637, 0.7088)  1 B 1.51
O (0.2637, 0.7088, 0.2637)  1 B 1.51
O (0.2912, 0.7363, 0.7363)  1 B 1.51
O (0.7088, 0.2637, 0.2637)  1 B 1.51
O (0.7363, 0.2912, 0.7363)  1 B 1.51
O (0.7363, 0.7363, 0.2912)  1 B 1.51
O (0.7363, 0.7363, 0.7363)  1 B 1.51

Properties
DFT total energy ... -0.403 Ry/atom

Record 2
ZnB2O4: relaxed, PBE.

a = 5.4566 Å, b = 5.4566 Å, c = 4.4262 Å
α = 105.13°, β = 105.13°, γ = 62.32°
Closest atoms and distances in Å follow each position.
Fractional positions:
Zn (0.1668, 0.8332, 0.7500)  6 O 2.06-2.30
Zn (0.8332, 0.1668, 0.2500)  6 O 2.06-2.30
B (0.2046, 0.4204, 0.1234)  4 O 1.44-1.53
B (0.4204, 0.2046, 0.6234)  4 O 1.44-1.53
B (0.5796, 0.7954, 0.3766)  4 O 1.44-1.53
B (0.7954, 0.5796, 0.8766)  4 O 1.44-1.53
O (0.0089, 0.7025, 0.0219)  2 B 1.51-1.53
O (0.2736, 0.4466, 0.4637)  2 B 1.44-1.45
O (0.2975, 0.9911, 0.4781)  2 B 1.51-1.53
O (0.4466, 0.2736, 0.9637)  2 B 1.44-1.45
O (0.5534, 0.7264, 0.0363)  2 B 1.44-1.45
O (0.7025, 0.0089, 0.5219)  2 B 1.51-1.53
O (0.7264, 0.5534, 0.5363)  2 B 1.44-1.45
O (0.9911, 0.2975, 0.9781)  2 B 1.51-1.53

Properties
DFT total energy ... -0.515 Ry/atom

Record 3
ZnB4O7: relaxed, PBE.

a = 8.0221 Å, b = 8.5864 Å, c = 13.7203 Å
α = 90.00°, β = 90.00°, γ = 90.00°
Closest atoms and distances in Å follow each position.
Fractional positions:
Zn (0.1041, 0.1207, 0.1165)  4 O 1.98-2.02
Zn (0.1041, 0.3793, 0.6165)  4 O 1.98-2.02
Zn (0.3959, 0.6207, 0.1165)  4 O 1.98-2.02
Zn (0.3959, 0.8793, 0.6165)  4 O 1.98-2.02
Zn (0.6041, 0.1207, 0.3835)  4 O 1.98-2.02
Zn (0.6041, 0.3793, 0.8835)  4 O 1.98-2.02
Zn (0.8959, 0.6207, 0.3835)  4 O 1.98-2.02
Zn (0.8959, 0.8793, 0.8835)  4 O 1.98-2.02
B (0.0331, 0.5790, 0.1677)  4 O 1.43-1.55
B (0.0331, 0.9210, 0.6677)  4 O 1.43-1.55
B (0.0369, 0.1537, 0.7690)  3 O 1.35-1.38
B (0.0369, 0.3463, 0.2690)  3 O 1.35-1.38
B (0.0796, 0.7002, 0.5633)  4 O 1.42-1.50
B (0.0796, 0.7998, 0.0633)  4 O 1.42-1.50
B (0.1686, 0.1310, 0.4620)  3 O 1.35-1.40
B (0.1686, 0.3690, 0.9620)  3 O 1.35-1.40
B (0.3314, 0.6310, 0.4620)  3 O 1.35-1.40
B (0.3314, 0.8690, 0.9620)  3 O 1.35-1.40
B (0.4204, 0.2002, 0.5633)  4 O 1.42-1.50
B (0.4204, 0.2998, 0.0633)  4 O 1.42-1.50
B (0.4631, 0.6537, 0.7690)  3 O 1.35-1.38
B (0.4631, 0.8463, 0.2690)  3 O 1.35-1.38
B (0.4670, 0.0790, 0.1677)  4 O 1.43-1.55
B (0.4670, 0.4210, 0.6677)  4 O 1.43-1.55
B (0.5330, 0.5790, 0.3323)  4 O 1.43-1.55
B (0.5330, 0.9210, 0.8323)  4 O 1.43-1.55
B (0.5369, 0.1537, 0.7310)  3 O 1.35-1.38
B (0.5369, 0.3463, 0.2310)  3 O 1.35-1.38
B (0.5796, 0.7002, 0.9367)  4 O 1.42-1.50
B (0.5796, 0.7998, 0.4367)  4 O 1.42-1.50
B (0.6686, 0.1310, 0.0380)  3 O 1.35-1.40
B (0.6686, 0.3690, 0.5380)  3 O 1.35-1.40
B (0.8314, 0.6310, 0.0380)  3 O 1.35-1.40
B (0.8314, 0.8690, 0.5380)  3 O 1.35-1.40
B (0.9204, 0.2002, 0.9367)  4 O 1.42-1.50
B (0.9204, 0.2998, 0.4367)  4 O 1.42-1.50
B (0.9631, 0.6537, 0.7310)  3 O 1.35-1.38
B (0.9631, 0.8463, 0.2310)  3 O 1.35-1.38
B (0.9670, 0.0790, 0.3323)  4 O 1.43-1.55
B (0.9670, 0.4210, 0.8323)  4 O 1.43-1.55
O (0.0160, 0.5949, 0.6425)  2 B 1.38-1.50
O (0.0160, 0.9051, 0.1425)  2 B 1.38-1.50
O (0.0182, 0.1896, 0.2484)  2 B 1.38-1.55
O (0.0182, 0.3104, 0.7484)  2 B 1.38-1.55
O (0.0668, 0.2493, 0.9973)  2 B 1.40-1.50
O (0.0668, 0.2507, 0.4973)  2 B 1.40-1.50
O (0.1089, 0.0609, 0.7018)  2 B 1.35-1.43
O (0.1089, 0.4391, 0.2018)  2 B 1.35-1.43
O (0.1197, 0.0444, 0.3852)  2 B 1.35-1.45
O (0.1197, 0.4556, 0.8852)  2 B 1.35-1.45
O (0.1538, 0.6638, 0.1076)  2 B 1.44-1.47
O (0.1538, 0.8362, 0.6076)  2 B 1.44-1.47
O (0.1798, 0.6029, 0.5031)  2 B 1.36-1.42
O (0.1798, 0.8971, 0.0031)  2 B 1.36-1.42
O (0.3202, 0.1029, 0.5031)  2 B 1.36-1.42
O (0.3202, 0.3971, 0.0031)  2 B 1.36-1.42
O (0.3462, 0.1638, 0.1076)  2 B 1.44-1.47
O (0.3462, 0.3362, 0.6076)  2 B 1.44-1.47
O (0.3803, 0.5444, 0.3852)  2 B 1.35-1.45
O (0.3803, 0.9556, 0.8852)  2 B 1.35-1.45
O (0.3911, 0.5609, 0.7018)  2 B 1.35-1.43
O (0.3911, 0.9391, 0.2018)  2 B 1.35-1.43
O (0.4332, 0.7493, 0.9973)  2 B 1.40-1.50
O (0.4332, 0.7507, 0.4973)  2 B 1.40-1.50
O (0.4818, 0.6896, 0.2484)  2 B 1.38-1.55
O (0.4818, 0.8104, 0.7484)  2 B 1.38-1.55
O (0.4840, 0.0949, 0.6425)  2 B 1.38-1.50
O (0.4840, 0.4051, 0.1425)  2 B 1.38-1.50
O (0.5160, 0.5949, 0.8575)  2 B 1.38-1.50
O (0.5160, 0.9051, 0.3575)  2 B 1.38-1.50
O (0.5182, 0.1896, 0.2516)  2 B 1.38-1.55
O (0.5182, 0.3104, 0.7516)  2 B 1.38-1.55
O (0.5668, 0.2493, 0.5027)  2 B 1.40-1.50
O (0.5668, 0.2507, 0.0027)  2 B 1.40-1.50
O (0.6089, 0.0609, 0.7982)  2 B 1.35-1.43
O (0.6089, 0.4391, 0.2982)  2 B 1.35-1.43
O (0.6197, 0.0444, 0.1148)  2 B 1.35-1.45
O (0.6197, 0.4556, 0.6148)  2 B 1.35-1.45
O (0.6538, 0.6638, 0.3924)  2 B 1.44-1.47
O (0.6538, 0.8362, 0.8924)  2 B 1.44-1.47
O (0.6798, 0.6029, 0.9969)  2 B 1.36-1.42
O (0.6798, 0.8971, 0.4969)  2 B 1.36-1.42
O (0.8202, 0.1029, 0.9969)  2 B 1.36-1.42
O (0.8202, 0.3971, 0.4969)  2 B 1.36-1.42
O (0.8462, 0.1638, 0.3924)  2 B 1.44-1.47
O (0.8462, 0.3362, 0.8924)  2 B 1.44-1.47
O (0.8803, 0.5444, 0.1148)  2 B 1.35-1.45
O (0.8803, 0.9556, 0.6148)  2 B 1.35-1.45
O (0.8911, 0.5609, 0.7982)  2 B 1.35-1.43
O (0.8911, 0.9391, 0.2982)  2 B 1.35-1.43
O (0.9332, 0.7493, 0.5027)  2 B 1.40-1.50
O (0.9332, 0.7507, 0.0027)  2 B 1.40-1.50
O (0.9818, 0.6896, 0.2516)  2 B 1.38-1.55
O (0.9818, 0.8104, 0.7516)  2 B 1.38-1.55
O (0.9840, 0.0949, 0.8575)  2 B 1.38-1.50
O (0.9840, 0.4051, 0.3575)  2 B 1.38-1.50

Properties
DFT total energy ... -0.551 Ry/atom
Polymorph energy (0 for the lowest one) ... 0.0000 eV/atom

Record 4
Zr2B2O5: relaxed, PBE.

a = 3.6773 Å, b = 3.6773 Å, c = 5.7561 Å
α = 90.00°, β = 90.00°, γ = 90.00°
Closest atoms and distances in Å follow each position.
Fractional positions:
Zr (0.0000, 0.0000, 0.0000)  8 O 2.30
Zr (0.0000, 0.0000, 0.5000)  12 O 2.37-2.60
B (0.5000, 0.5000, 0.2387)  1 O 1.50
B (0.5000, 0.5000, 0.7613)  1 O 1.50
O (0.0000, 0.5000, 0.2392)  2 B 1.84
O (0.0000, 0.5000, 0.7608)  2 B 1.84
O (0.5000, 0.0000, 0.2392)  2 B 1.84
O (0.5000, 0.0000, 0.7608)  2 B 1.84
O (0.5000, 0.5000, 0.5000)  2 B 1.50

Properties
DFT total energy ... -0.555 Ry/atom
Polymorph energy (0 for the lowest one) ... 0.0000 eV/atom

Record 5
Zr2B2O5: relaxed, PBE.

a = 3.4631 Å, b = 3.4631 Å, c = 8.5782 Å
α = 90.00°, β = 90.00°, γ = 90.00°
Closest atoms and distances in Å follow each position.
Fractional positions:
Zr (0.0000, 0.0000, 0.2383)  5 O 2.04-2.06
Zr (0.0000, 0.0000, 0.7617)  5 O 2.04-2.06
B (0.5000, 0.5000, 0.0000)  4 O 2.45
B (0.5000, 0.5000, 0.5000)  8 O 2.07
O (0.0000, 0.0000, 0.0000)  2 Zr 2.04
O (0.0000, 0.5000, 0.3677)  2 Zr 2.06, 2 B 2.07, 1 O 2.27
O (0.0000, 0.5000, 0.6323)  2 Zr 2.06, 2 B 2.07, 1 O 2.27
O (0.5000, 0.0000, 0.3677)  2 Zr 2.06, 2 B 2.07, 1 O 2.27
O (0.5000, 0.0000, 0.6323)  2 Zr 2.06, 2 B 2.07, 1 O 2.27

Properties
DFT total energy ... -0.533 Ry/atom
Polymorph energy (0 for the lowest one) ... 0.3050 eV/atom

Record 6
B2Os: relaxed, PBE.

a = 6.3819 Å, b = 6.3819 Å, c = 6.3819 Å
α = 60.00°, β = 60.00°, γ = 60.00°
Closest atoms and distances in Å follow each position.
Fractional positions:
B (0.0000, 0.0000, 0.0000)  2 Os 1.95
B (0.0000, 0.0000, 0.5000)  2 Os 1.95
B (0.0000, 0.5000, 0.0000)  2 Os 1.95
B (0.5000, 0.0000, 0.0000)  2 Os 1.95
Os (0.1250, 0.1250, 0.1250)  4 B 1.95
Os (0.8750, 0.8750, 0.8750)  4 B 1.95

Properties
DFT total energy ... -0.507 Ry/atom

Record 7
BOs: relaxed, PBE.

a = 2.8953 Å, b = 2.8953 Å, c = 2.8756 Å
α = 90.00°, β = 90.00°, γ = 120.00°
Closest atoms and distances in Å follow each position.
Fractional positions:
B (0.0000, 0.0000, 0.0000)  6 Os 2.20
Os (0.6667, 0.3333, 0.5000)  6 B 2.20

Properties
DFT total energy ... -0.675 Ry/atom

Record 8
B2Os: relaxed, PBE.

a = 3.5607 Å, b = 3.5607 Å, c = 3.5607 Å
α = 60.00°, β = 60.00°, γ = 60.00°
Closest atoms and distances in Å follow each position.
Fractional positions:
B (0.2500, 0.2500, 0.2500)  4 Os 2.18
B (0.7500, 0.7500, 0.7500)  4 Os 2.18
Os (0.0000, 0.0000, 0.0000)  8 B 2.18

Properties
DFT total energy ... -0.551 Ry/atom